Tb5CeNd2 | PBE | relaxed

```
data_Tb5CeNd2
_symmetry_space_group_name_H-M 'I 4/m m m'
_symmetry_Int_Tables_number 139
_symmetry_space_group_name_Hall '-I 4 2'
_cell_length_a 5.080
_cell_length_b 5.080
_cell_length_c 20.218
_cell_angle_alpha 90.00
_cell_angle_beta 90.00
_cell_angle_gamma 90.00
loop_
_atom_site_label
_atom_site_type_symbol
_atom_site_fract_x
_atom_site_fract_y
_atom_site_fract_z
_atom_site_occupancy
Tb1 Tb 0.000 0.000 0.000 1
Tb2 Tb 0.000 0.500 0.122 1
Ce1 Ce 0.000 0.000 0.500 1
Nd1 Nd 0.000 0.000 0.252 1
```

For the formation energy, the calculation gives 0.045 eV per atom. For the total energy, the calculation gives -4.7827 eV per atom. For the density of states at the Fermi level, the calculation gives 26.65 states/eV per cell.

Ac4PdO7 | PBE | relaxed

```
data_Ac4PdO7
_symmetry_space_group_name_H-M 'C 1 2/m 1'
_symmetry_Int_Tables_number 12
_cell_length_a 13.922
_cell_length_b 4.187
_cell_length_c 9.703
_cell_angle_alpha 90.00
_cell_angle_beta 132.78
_cell_angle_gamma 90.00
loop_
_symmetry_equiv_pos_as_xyz
'x,y,z'
'-x,-y,-z'
'-x,y,-z'
'x,-y,z'
'x+1/2,y+1/2,z'
'-x+1/2,-y+1/2,-z'
'-x+1/2,y+1/2,-z'
'x+1/2,-y+1/2,z'
loop_
_atom_site_label
_atom_site_type_symbol
_atom_site_fract_x
_atom_site_fract_y
_atom_site_fract_z
_atom_site_occupancy
Ac1 Ac 0.083 0.000 0.384 1
Ac2 Ac 0.247 0.000 0.157 1
Pd1 Pd 0.000 0.500 0.000 1
O1 O 0.000 0.000 0.000 1
O2 O 0.088 0.500 0.893 1
O3 O 0.131 0.000 0.694 1
O4 O 0.204 0.500 0.555 1
```

The formation energy (no corrections) comes out at -2874 meV/atom. For the total energy, the calculation gives -7.5683 eV per atom. For the density of states at the Fermi level, the calculation gives 4.28 states/eV per cell.

Na3HW | PBE | relaxed

```
data_Na3HW
_symmetry_space_group_name_H-M 'P m -3 m'
_symmetry_Int_Tables_number 221
_symmetry_space_group_name_Hall '-P 4 2 3'
_cell_length_a 4.866
_cell_length_b 4.866
_cell_length_c 4.866
_cell_angle_alpha 90.00
_cell_angle_beta 90.00
_cell_angle_gamma 90.00
loop_
_atom_site_label
_atom_site_type_symbol
_atom_site_fract_x
_atom_site_fract_y
_atom_site_fract_z
_atom_site_occupancy
Na1 Na 0.000 0.000 0.500 1
H1 H 0.000 0.000 0.000 1
W1 W 0.500 0.500 0.500 1
```

For the total energy, the calculation gives -2.9066 eV per atom. For the density of states at the Fermi level, the calculation gives 3.12 states/eV per cell.

Sb2TePdPb | PBE | relaxed

```
data_Sb2TePdPb
_symmetry_space_group_name_H-M 'P 4/m m m'
_symmetry_Int_Tables_number 123
_symmetry_space_group_name_Hall '-P 4 2'
_cell_length_a 5.762
_cell_length_b 5.762
_cell_length_c 5.764
_cell_angle_alpha 90.00
_cell_angle_beta 90.00
_cell_angle_gamma 90.00
loop_
_atom_site_label
_atom_site_type_symbol
_atom_site_fract_x
_atom_site_fract_y
_atom_site_fract_z
_atom_site_occupancy
Sb1 Sb 0.000 0.500 0.000 1
Te1 Te 0.000 0.000 0.500 1
Pd1 Pd 0.500 0.500 0.500 1
Pb1 Pb 0.000 0.000 0.000 1
```

The formation energy (no corrections) comes out at 1154 meV/atom. The relative energy among the computed polymorphs comes out at 22.39 kcal/mol of atoms. For the total energy, the calculation gives -2.9038 eV per atom. For the density of states at the Fermi level, the calculation gives 5.80 states/eV per cell.